1.
Computed, not measured: an optimized crystal structure of LiMgV3 at the GGA-PBE level of DFT.

a b c (Å): 4.9867 4.9867 4.9867
angles (deg): 90.00 90.00 90.00
Space group Pm-3m (No. 221)
Inequivalent atoms, fractional coordinates:
Li (0.0000, 0.0000, 0.0000)
Mg (0.5000, 0.5000, 0.5000)
V (0.0000, 0.5000, 0.5000)

Fermi-level density of states, states/eV/f.u.: 9.594
E_form, eV per atom: 1.788
Electronic total energy, eV/atom: -4.3848

=====

2.
Computed, not measured: an optimized crystal structure of TmTi2Co9 at the GGA-PBE level of DFT.

a b c (Å): 4.7879 4.7879 23.3614
angles (deg): 90.00 90.00 120.00
Space group R-3m (No. 166, hexagonal axes)
Inequivalent atoms, fractional coordinates:
Tm (0.0000, 0.0000, 0.0000)
Ti (0.0000, 0.0000, 0.1412)
Co (0.0000, 0.0000, 0.3360)
Co (0.0000, 0.0000, 0.5000)
Co (0.0077, 0.5039, 0.9139)

Fermi-level density of states, states/eV/f.u.: 15.926
E_form, eV per atom: -0.228
Electronic total energy, eV/atom: -7.2461

=====

3.
Computed, not measured: an optimized crystal structure of LiAcTbCd at the GGA-PBE level of DFT.

a b c (Å): 7.8235 7.8235 7.8235
angles (deg): 90.00 90.00 90.00
Space group F-43m (No. 216)
Inequivalent atoms, fractional coordinates:
Li (0.0000, 0.0000, 0.0000)
Ac (0.2500, 0.2500, 0.2500)
Tb (0.2500, 0.2500, 0.7500)
Cd (0.0000, 0.0000, 0.5000)

Fermi-level density of states, states/eV/f.u.: 5.594
E_form, eV per atom: -0.083
Electronic total energy, eV/atom: -2.9754

=====

4.
Computed, not measured: an optimized crystal structure of GdAl4Cd at the GGA-PBE level of DFT.

a b c (Å): 7.8625 7.8625 7.8625
angles (deg): 90.00 90.00 90.00
Space group F-43m (No. 216)
Inequivalent atoms, fractional coordinates:
Gd (0.0000, 0.0000, 0.0000)
Al (0.1257, 0.1257, 0.3743)
Cd (0.2500, 0.2500, 0.7500)

Fermi-level density of states, states/eV/f.u.: 4.293
E_form, eV per atom: -0.161
Electronic total energy, eV/atom: -5.1552

=====

5.
Computed, not measured: an optimized crystal structure of Ti2AlH2 at the GGA-PBE level of DFT.

a b c (Å): 5.1232 8.5247 5.5598
angles (deg): 90.00 117.31 90.00
Space group C2/c (No. 15)
Inequivalent atoms, fractional coordinates:
Ti (0.0000, 0.0434, 0.2500)
Ti (0.0000, 0.2914, 0.7500)
Al (0.0000, 0.3759, 0.2500)
H (0.1271, 0.1242, 0.0010)

Fermi-level density of states, states/eV/f.u.: 3.337
Electronic total energy, eV/atom: -5.6414

=====

6.
Computed, not measured: an optimized crystal structure of BePdAu3 at the GGA-PBE level of DFT.

a b c (Å): 4.3950 4.3950 4.3950
angles (deg): 90.00 90.00 90.00
Space group Pm-3m (No. 221)
Inequivalent atoms, fractional coordinates:
Be (0.0000, 0.0000, 0.0000)
Pd (0.5000, 0.5000, 0.5000)
Au (0.0000, 0.0000, 0.5000)

Fermi-level density of states, states/eV/f.u.: 2.481
E_form, eV per atom: 0.184
Electronic total energy, eV/atom: -3.5664

=====

7.
Computed, not measured: an optimized crystal structure of Tl2CuGeBr5 at the GGA-PBE level of DFT.

a b c (Å): 4.2014 19.2822 14.1156
angles (deg): 90.00 90.00 90.00
Space group Cmc2_1 (No. 36)
Inequivalent atoms, fractional coordinates:
Tl (0.0000, 0.0969, 0.0000)
Tl (0.0000, 0.1311, 0.6352)
Cu (0.0000, 0.4406, 0.7673)
Ge (0.0000, 0.2058, 0.3425)
Br (0.0000, 0.0458, 0.3571)
Br (0.0000, 0.2851, 0.9785)
Br (0.0000, 0.3125, 0.7048)
Br (0.0000, 0.3426, 0.3218)
Br (0.0000, 0.4982, 0.1147)

Electronic total energy, eV/atom: -3.0490
ΔE_f (raw), eV per atom: -0.63